Record 1
{"formula": "SrTcMo2H", "functional": "meta-GGA SCAN", "state": "single point on PBEsol structure", "lattice_angstrom": [[4.7360, 0.0000, 0.0000], [0.0000, 4.7360, 0.0000], [0.0000, 0.0000, 4.6826]], "species": ["Sr", "Tc", "Mo", "Mo", "H"], "frac_coords": [[0.0000, 0.0000, 0.0000], [0.0000, 0.0000, 0.5000], [0.0000, 0.5000, 0.0000], [0.5000, 0.0000, 0.0000], [0.5000, 0.5000, 0.5000]], "total_energy_ev_per_atom": -22.20, "n_ef_per_ev_cell": 6.03, "space_group": "P4/mmm, No. 123", "magmom_total_mub_per_atom": 0.316}


Record 2
{"formula": "NiMo2Br", "functional": "meta-GGA SCAN", "state": "single point on PBEsol structure", "lattice_angstrom": [[1.6175, -2.3929, 0.0000], [1.6175, 2.3929, 0.0000], [0.0000, 0.0000, 8.1307]], "species": ["Ni", "Mo", "Mo", "Br"], "frac_coords": [[0.0000, 0.0000, 0.0000], [0.0000, 0.0000, 0.4640], [0.5000, 0.5000, 0.2237], [0.5000, 0.5000, 0.7444]], "relative_energy_mev_per_atom": 189.1, "n_ef_per_ev_cell": 2.91, "space_group": "Cmm2, No. 35", "magmom_total_mub_per_atom": 0.000}


Record 3
{"formula": "TaMnNbP2", "functional": "meta-GGA SCAN", "state": "single point on PBEsol structure", "lattice_angstrom": [[4.2518, 0.0000, 0.0000], [0.0000, 4.2518, 0.0000], [0.0000, 0.0000, 4.5278]], "species": ["Ta", "Mn", "Nb", "P", "P"], "frac_coords": [[0.0000, 0.0000, 0.0000], [0.0000, 0.0000, 0.5000], [0.5000, 0.5000, 0.0000], [0.0000, 0.5000, 0.5000], [0.5000, 0.0000, 0.5000]], "e_form_ev_per_atom": 0.689, "n_ef_per_ev_cell": 4.46, "space_group": "P4/mmm, No. 123", "magmom_total_mub_per_atom": 0.424}


Record 4
{"formula": "BaCoOs2", "functional": "meta-GGA SCAN", "state": "single point on PBEsol structure", "lattice_angstrom": [[0.0000, 3.2647, 3.2647], [3.2647, 0.0000, 3.2647], [3.2647, 3.2647, 0.0000]], "species": ["Ba", "Co", "Os", "Os"], "frac_coords": [[0.0000, 0.0000, 0.0000], [0.5000, 0.5000, 0.5000], [0.2500, 0.2500, 0.2500], [0.7500, 0.7500, 0.7500]], "e_form_ev_per_atom": 1.762, "relative_energy_mev_per_atom": 996.2, "n_ef_per_ev_cell": 3.96, "space_group": "Fm-3m, No. 225", "magmom_total_mub_per_atom": 1.008}


Record 5
{"formula": "RbCoTeN2", "functional": "meta-GGA SCAN", "state": "single point on PBEsol structure", "lattice_angstrom": [[4.8369, 0.0000, 0.0000], [0.0000, 4.8369, 0.0000], [0.0000, 0.0000, 6.9755]], "species": ["Rb", "Co", "Te", "N", "N"], "frac_coords": [[0.0000, 0.0000, 0.0000], [0.5000, 0.5000, 0.5000], [0.0000, 0.0000, 0.5000], [0.0000, 0.5000, 0.0000], [0.5000, 0.0000, 0.0000]], "total_energy_ev_per_atom": -16.44, "n_ef_per_ev_cell": 6.15, "space_group": "P4/mmm, No. 123", "magmom_total_mub_per_atom": 1.541}


Record 6
{"formula": "Ca2BeAlAs", "functional": "meta-GGA SCAN", "state": "single point on PBEsol structure", "lattice_angstrom": [[5.5780, 0.0000, 0.0000], [0.0000, 5.5780, 0.0000], [0.0000, 0.0000, 4.2403]], "species": ["Ca", "Ca", "Be", "Al", "As"], "frac_coords": [[0.0000, 0.5000, 0.0000], [0.5000, 0.0000, 0.0000], [0.0000, 0.0000, 0.5000], [0.0000, 0.0000, 0.0000], [0.5000, 0.5000, 0.5000]], "e_form_ev_per_atom": 0.211, "n_ef_per_ev_cell": 4.42, "space_group": "P4/mmm, No. 123", "magmom_total_mub_per_atom": 0.001}


Record 7
{"formula": "CsRbS2", "functional": "meta-GGA SCAN", "state": "single point on PBEsol structure", "lattice_angstrom": [[-4.5435, 4.5435, 3.1154], [4.5435, -4.5435, 3.1154], [4.5435, 4.5435, -3.1154]], "species": ["Cs", "Cs", "Rb", "Rb", "S", "S", "S", "S"], "frac_coords": [[0.0000, 0.0000, 0.0000], [0.7500, 0.2500, 0.5000], [0.2500, 0.7500, 0.5000], [0.5000, 0.5000, 0.0000], [0.1375, 0.6250, 0.0125], [0.3750, 0.3875, 0.5125], [0.6125, 0.1250, 0.9875], [0.8750, 0.8625, 0.4875]], "total_energy_ev_per_atom": -19.97, "n_ef_per_ev_cell": 10.98, "space_group": "I-42d, No. 122", "magmom_total_mub_per_atom": 0.064}


Record 8
{"formula": "CrBiN2F", "functional": "meta-GGA SCAN", "state": "single point on PBEsol structure", "lattice_angstrom": [[3.9077, 0.0000, 0.0000], [0.0000, 3.9077, 0.0000], [0.0000, 0.0000, 3.7937]], "species": ["Cr", "Bi", "N", "N", "F"], "frac_coords": [[0.0000, 0.0000, 0.0000], [0.5000, 0.5000, 0.5000], [0.0000, 0.5000, 0.0000], [0.5000, 0.0000, 0.0000], [0.0000, 0.0000, 0.5000]], "total_energy_ev_per_atom": -24.21, "n_ef_per_ev_cell": 1.63, "space_group": "P4/mmm, No. 123", "magmom_total_mub_per_atom": 0.400}